## PmPrSi2 (PBE)

Data for crystalline PmPrSi2 at its relaxed geometry.

Summary:
energy relative to the lowest polymorph listed for this composition	0	meV/atom
SG	Pmc2_1 (26)
VASP energy	-46.84	eV/cell
V	24.1	A^3/atom

abc: 3.9477 5.9243 8.2552
angles: 90.00 90.00 90.00
Last column: nearest neighbours and their distance in Å.
Fractional coordinates of all 8 atoms:
Si (0.5000, 0.8683, 0.4653)  2 Si 2.51
Si (0.0000, 0.6258, 0.5353)  2 Si 2.51
Si (0.5000, 0.1317, 0.9653)  2 Si 2.51
Si (0.0000, 0.3742, 0.0353)  2 Si 2.51
Pm (0.5000, 0.3640, 0.3198)  7 Si 3.07-3.23
Pm (0.5000, 0.6360, 0.8198)  7 Si 3.07-3.23
Pr (0.0000, 0.1354, 0.6796)  7 Si 3.08-3.26
Pr (0.0000, 0.8646, 0.1796)  7 Si 3.08-3.26